Record 1
GGA-PBE Ti3HCl, relaxed; crystal system = cubic; VASP energy = -0.4173 Ry per atom; SG = Pm-3m
1.0
4.082 0.000 0.000
0.000 4.082 0.000
0.000 0.000 4.082
H Cl Ti
1 1 3
Direct
0.000 0.000 0.000
0.500 0.500 0.500
0.500 0.000 0.000
0.000 0.500 0.000
0.000 0.000 0.500

***

Record 2
GGA-PBE TiH2Cl4, relaxed; crystal system = monoclinic; VASP energy = -0.2601 Ry per atom; SG = P2/m
1.0
-1.229 1.158 3.136
-5.741 -2.681 -1.259
4.929 -5.486 3.958
Cl H Ti
4 2 1
Direct
0.000 0.252 0.216
0.000 0.605 0.784
0.500 0.062 0.861
0.500 0.795 0.139
0.500 0.188 0.515
0.500 0.670 0.485
0.000 0.929 0.000